[1]
# Cu2AgCS (PBE, relaxed)
# magnetic moment: 0.0 μB per formula unit
# uncorrected formation energy: 1187 meV/atom
data_Cu2AgCS
_chemical_formula_sum 'Cu2 Ag1 C1 S1'
_cell_length_a 4.481
_cell_length_b 4.481
_cell_length_c 3.635
_cell_angle_alpha 90.00
_cell_angle_beta 90.00
_cell_angle_gamma 90.00
_symmetry_space_group_name_H-M 'P 4/m m m'
_symmetry_Int_Tables_number 123
_symmetry_space_group_name_Hall '-P 4 2'
loop_
_atom_site_label
_atom_site_fract_x
_atom_site_fract_y
_atom_site_fract_z
Cu1 0.000 0.500 0.000
Ag1 0.000 0.000 0.500
C1 0.500 0.500 0.500
S1 0.500 0.500 0.000

---

[2]
# CuSiAgC2 (PBE, relaxed)
# magnetic moment: 0.0 μB per formula unit
# uncorrected formation energy: 2011 meV/atom
data_CuSiAgC2
_chemical_formula_sum 'Cu1 Si1 Ag1 C2'
_cell_length_a 3.745
_cell_length_b 3.745
_cell_length_c 5.172
_cell_angle_alpha 90.00
_cell_angle_beta 90.00
_cell_angle_gamma 90.00
_symmetry_space_group_name_H-M 'P 4/m m m'
_symmetry_Int_Tables_number 123
_symmetry_space_group_name_Hall '-P 4 2'
loop_
_atom_site_label
_atom_site_fract_x
_atom_site_fract_y
_atom_site_fract_z
Cu1 0.000 0.000 0.000
Si1 0.000 0.000 0.500
Ag1 0.500 0.500 0.500
C1 0.000 0.500 0.000

---

[3]
# Sr2CuAgC (PBE, relaxed)
# magnetic moment: 0.0 μB per formula unit
# DFT formation energy: 1.53 eV/f.u.
data_Sr2CuAgC
_chemical_formula_sum 'Sr2 Cu1 Ag1 C1'
_cell_length_a 5.785
_cell_length_b 5.785
_cell_length_c 3.678
_cell_angle_alpha 90.00
_cell_angle_beta 90.00
_cell_angle_gamma 90.00
_symmetry_space_group_name_H-M 'P 4/m m m'
_symmetry_Int_Tables_number 123
_symmetry_space_group_name_Hall '-P 4 2'
loop_
_atom_site_label
_atom_site_fract_x
_atom_site_fract_y
_atom_site_fract_z
Sr1 0.000 0.500 0.000
Cu1 0.000 0.000 0.000
Ag1 0.500 0.500 0.500
C1 0.000 0.000 0.500

---

[4]
# Ti2CuAgC (PBE, relaxed)
# magnetic moment: 0.0 μB per formula unit
# DFT formation energy: -0.58 eV/f.u.
data_Ti2CuAgC
_chemical_formula_sum 'Ti2 Cu1 Ag1 C1'
_cell_length_a 4.207
_cell_length_b 4.207
_cell_length_c 3.942
_cell_angle_alpha 90.00
_cell_angle_beta 90.00
_cell_angle_gamma 90.00
_symmetry_space_group_name_H-M 'P 4/m m m'
_symmetry_Int_Tables_number 123
_symmetry_space_group_name_Hall '-P 4 2'
loop_
_atom_site_label
_atom_site_fract_x
_atom_site_fract_y
_atom_site_fract_z
Ti1 0.000 0.500 0.000
Cu1 0.000 0.000 0.500
Ag1 0.500 0.500 0.500
C1 0.000 0.000 0.000

---

[5]
# Tl2CuAgC (PBE, relaxed)
# magnetic moment: 0.3 μB per formula unit
# DFT formation energy: 4.45 eV/f.u.
data_Tl2CuAgC
_chemical_formula_sum 'Tl2 Cu1 Ag1 C1'
_cell_length_a 5.545
_cell_length_b 5.545
_cell_length_c 3.595
_cell_angle_alpha 90.00
_cell_angle_beta 90.00
_cell_angle_gamma 90.00
_symmetry_space_group_name_H-M 'P 4/m m m'
_symmetry_Int_Tables_number 123
_symmetry_space_group_name_Hall '-P 4 2'
loop_
_atom_site_label
_atom_site_fract_x
_atom_site_fract_y
_atom_site_fract_z
Tl1 0.000 0.500 0.000
Cu1 0.000 0.000 0.000
Ag1 0.500 0.500 0.500
C1 0.000 0.000 0.500

---

[6]
# Y2CuAgC (PBE, relaxed)
# magnetic moment: 0.0 μB per formula unit
# DFT formation energy: -0.97 eV/f.u.
data_Y2CuAgC
_chemical_formula_sum 'Y2 Cu1 Ag1 C1'
_cell_length_a 4.977
_cell_length_b 4.977
_cell_length_c 3.871
_cell_angle_alpha 90.00
_cell_angle_beta 90.00
_cell_angle_gamma 90.00
_symmetry_space_group_name_H-M 'P 4/m m m'
_symmetry_Int_Tables_number 123
_symmetry_space_group_name_Hall '-P 4 2'
loop_
_atom_site_label
_atom_site_fract_x
_atom_site_fract_y
_atom_site_fract_z
Y1 0.000 0.500 0.000
Cu1 0.000 0.000 0.500
Ag1 0.500 0.500 0.500
C1 0.000 0.000 0.000